1.
Compound: Mg3Ga3Hg2
Source: the Alexandria database
Functional: PBE
Structure: relaxed

a b c (Å): 4.740 4.924 7.075
angles (deg): 90.00 90.00 90.00
Space group Pmmm (No. 47)
Asymmetric unit:
Mg1 0.000 0.000 0.000
Mg2 0.000 0.000 0.500
Mg3 0.500 0.500 0.000
Ga1 0.000 0.500 0.258
Ga2 0.500 0.500 0.500
Hg1 0.500 0.000 0.245

Formation enthalpy at 0 K = -80.4 kJ/mol of formula units
ρ = 6.9 Mg/m³
D(E_F) = 0.197 states/eV/atom
Total magnetic moment = 0.0 μB/f.u.

2.
Compound: Mg2GaHg3
Source: the Alexandria database
Functional: PBE
Structure: relaxed

a b c (Å): 3.247 26.038 6.402
angles (deg): 90.00 90.00 90.00
Space group Cmcm (No. 63)
Asymmetric unit:
Mg1 0.000 0.001 0.250
Mg2 0.000 0.153 0.250
Ga1 0.000 0.333 0.250
Hg1 0.000 0.256 0.750
Hg2 0.000 0.423 0.003

Formation enthalpy at 0 K = -55.0 kJ/mol of formula units
Energy relative to the lowest polymorph listed for this composition = 0.014 eV per atom
ρ = 8.8 Mg/m³
D(E_F) = 0.341 states/eV/atom
Total magnetic moment = 0.0 μB/f.u.

3.
Compound: Mg2Ga2Hg7
Source: the Alexandria database
Functional: PBE
Structure: relaxed

a b c (Å): 4.713 12.772 8.618
angles (deg): 90.00 90.00 90.00
Space group Imm2 (No. 44)
Asymmetric unit:
Mg1 0.000 0.215 0.000
Ga1 0.000 0.000 0.193
Ga2 0.000 0.500 0.008
Hg1 0.000 0.000 0.852
Hg2 0.000 0.136 0.505
Hg3 0.000 0.345 0.294
Hg4 0.000 0.360 0.698

Formation enthalpy at 0 K = -33.2 kJ/mol of formula units
ρ = 10.2 Mg/m³
D(E_F) = 0.356 states/eV/atom
Total magnetic moment = 0.0 μB/f.u.

4.
Compound: Mg2Ga2Hg
Source: the Alexandria database
Functional: PBE
Structure: relaxed

a b c (Å): 4.300 4.300 12.103
angles (deg): 90.00 90.00 90.00
Space group I4/mmm (No. 139)
Asymmetric unit:
Mg1 0.000 0.500 0.250
Ga1 0.000 0.000 0.100
Hg1 0.000 0.000 0.500

Formation enthalpy at 0 K = 25.2 kJ/mol of formula units
Energy relative to the lowest polymorph listed for this composition = 0.173 eV per atom
ρ = 5.8 Mg/m³
D(E_F) = 0.466 states/eV/atom
Total magnetic moment = 0.0 μB/f.u.

Copy entry 2 word for word.
Compound: Mg2GaHg3
Source: the Alexandria database
Functional: PBE
Structure: relaxed

a b c (Å): 3.247 26.038 6.402
angles (deg): 90.00 90.00 90.00
Space group Cmcm (No. 63)
Asymmetric unit:
Mg1 0.000 0.001 0.250
Mg2 0.000 0.153 0.250
Ga1 0.000 0.333 0.250
Hg1 0.000 0.256 0.750
Hg2 0.000 0.423 0.003

Formation enthalpy at 0 K = -55.0 kJ/mol of formula units
Energy relative to the lowest polymorph listed for this composition = 0.014 eV per atom
ρ = 8.8 Mg/m³
D(E_F) = 0.341 states/eV/atom
Total magnetic moment = 0.0 μB/f.u.